## InRhAu2 (PBEsol)

Data for a relaxed structure of InRhAu2.

## Properties
Mass density, Mg/m³: 15.30
Symmetry: No. 119
ΔH_f (0 K), meV/atom: -156
N(E_F), states/eV/f.u.: 1.39
Magnetic moment, μB/atom: 0.000
Calculated total energy, eV for the cell shown: -19.59

Cell: 4.1415 4.1415 4.8537 Å, 115.25 115.25 90.00°
Last column: nearest neighbours and their distance in Å.
Positions (direct):
Au 0.2500 0.7500 0.5000  4 In 2.83, 4 Au 2.83, 4 Rh 2.93
Rh 0.7500 0.2500 0.5000  4 In 2.83, 8 Au 2.83-2.93
In 0.5000 0.5000 0.0000  8 Au 2.83-2.93, 4 Rh 2.83
Au 0.0000 0.0000 0.0000  4 Rh 2.83, 4 Au 2.83, 4 In 2.93

***

## In3RhAu (PBEsol)

Data for a relaxed structure of In3RhAu.

## Properties
Mass density, Mg/m³: 8.27
Symmetry: No. 221
ΔH_f (0 K), meV/atom: 746
N(E_F), states/eV/f.u.: 6.44
Magnetic moment, μB/atom: 0.077
Calculated total energy, eV for the cell shown: -17.28

Cell: 5.0583 5.0583 5.0583 Å, 90.00 90.00 90.00°
Last column: nearest neighbours and their distance in Å.
Positions (direct):
In 0.0000 0.0000 0.5000  2 Au 2.53
In 0.5000 0.0000 0.0000  2 Au 2.53
Rh 0.5000 0.5000 0.5000  12 In 3.58
In 0.0000 0.5000 0.0000  2 Au 2.53
Au 0.0000 0.0000 0.0000  6 In 2.53

***

## InRhAu2 (PBEsol)

Data for a relaxed structure of InRhAu2.

## Properties
Mass density, Mg/m³: 15.14
Symmetry: No. 10
ΔH_f (0 K), meV/atom: -133
N(E_F), states/eV/f.u.: 1.92
Magnetic moment, μB/atom: 0.000
Calculated total energy, eV for the cell shown: -19.50

Cell: 3.1341 4.5733 4.8524 Å, 105.27 90.00 90.00°
Last column: nearest neighbours and their distance in Å.
Positions (direct):
Rh 0.0000 0.5000 0.5000  4 In 2.77, 6 Au 2.86-2.89
Au 0.0000 0.0000 0.0000  4 Au 2.77, 2 Rh 2.86, 4 In 2.89
Au 0.5000 0.5000 0.0000  4 Au 2.77, 2 In 2.86, 4 Rh 2.89
In 0.5000 0.0000 0.5000  4 Rh 2.77, 6 Au 2.86-2.89

***

## InRu2Au (PBEsol)

Data for a relaxed structure of InRu2Au.

## Properties
Mass density, Mg/m³: 13.47
Symmetry: No. 216
ΔH_f (0 K), meV/atom: 406
N(E_F), states/eV/f.u.: 4.01
Magnetic moment, μB/atom: 0.002
Calculated total energy, eV for the cell shown: -25.63

Cell: 4.4745 4.4745 4.4745 Å, 60.00 60.00 60.00°
Last column: nearest neighbours and their distance in Å.
Positions (direct):
Au 0.5000 0.5000 0.5000  4 In 2.74, 4 Ru 2.74
Ru 0.0000 0.0000 0.0000  4 In 2.74, 4 Ru 2.74
In 0.2500 0.2500 0.2500  4 Au 2.74, 4 Ru 2.74
Ru 0.7500 0.7500 0.7500  4 Au 2.74, 4 Ru 2.74

***

## InRu2Au (PBEsol)

Data for a relaxed structure of InRu2Au.

## Properties
Mass density, Mg/m³: 13.43
Symmetry: No. 160
ΔH_f (0 K), meV/atom: 256
N(E_F), states/eV/f.u.: 3.21
Magnetic moment, μB/atom: 0.000
Calculated total energy, eV for the cell shown: -26.23

Cell: 2.8334 2.8334 9.2838 Å, 81.22 81.22 60.00°
Last column: nearest neighbours and their distance in Å.
Positions (direct):
Ru 0.7441 0.7441 0.7676  9 Ru 2.56-2.83, 3 Au 2.85
In 0.2541 0.2541 0.2376  6 In 2.83, 3 Ru 2.84, 3 Au 2.99
Ru 0.0057 0.0057 0.9829  9 Ru 2.56-2.83, 3 In 2.84
Au 0.4960 0.4960 0.5119  6 Au 2.83, 3 Ru 2.85, 3 In 2.99

***

## InRu2Au (PBEsol)

Data for a relaxed structure of InRu2Au.

## Properties
Mass density, Mg/m³: 13.45
Symmetry: No. 25
ΔH_f (0 K), meV/atom: 179
N(E_F), states/eV/f.u.: 2.76
Magnetic moment, μB/atom: 0.000
Calculated total energy, eV for the cell shown: -26.53

Cell: 2.8483 3.7233 5.9830 Å, 90.00 90.00 90.00°
Last column: nearest neighbours and their distance in Å.
Positions (direct):
Ru 0.5000 0.5000 0.2204  6 Ru 2.60-2.85, 1 In 2.77, 4 Au 2.84
Ru 0.0000 0.0000 0.0325  6 Ru 2.60-2.85, 1 Au 2.73, 4 In 2.86
Au 0.0000 0.0000 0.4893  5 Ru 2.73-2.84, 4 In 2.84, 2 Au 2.85
In 0.5000 0.5000 0.7578  5 Ru 2.77-2.86, 4 Au 2.84, 2 In 2.85